[1]
First-principles (PBE) data for an optimized crystal structure of La2TbNd2Tm2, as listed in the Alexandria database.

Properties
The density of states at the Fermi level comes out at 1.613 states/eV/atom. The energy comes out at -4.681 eV/atom.

Lattice parameters (Å, degrees): 11.500 5.146 8.092 90.00 98.34 90.00
Space group C2/m (No. 12)
One atom of each set of equivalent atoms:
La 0.144 0.000 0.428 [4 per cell]
Tb 0.000 0.000 0.000 [2 per cell]
Nd 0.071 0.500 0.722 [4 per cell]
Tm 0.216 0.500 0.138 [4 per cell]

[2]
First-principles (PBE) data for an optimized crystal structure of LaTb2NdTm5, as listed in the Alexandria database.

Properties
The density of states at the Fermi level comes out at 1.182 states/eV/atom. The energy comes out at -4.324 eV/atom.

Lattice parameters (Å, degrees): 8.763 8.763 15.146 90.00 90.00 90.00
Space group I4/mcm (No. 140)
One atom of each set of equivalent atoms:
La 0.000 0.000 0.250 [4 per cell]
Tb 0.116 0.384 0.000 [8 per cell]
Nd 0.000 0.500 0.250 [4 per cell]
Tm 0.000 0.000 0.000 [4 per cell]
Tm 0.205 0.295 0.368 [16 per cell]

Ordered total moment results: 0.0 0.0; unit Bohr magnetons per cell.